i.
Tl2CoRh2: optimized geometry, PBE.

Cell: 6.577 6.577 4.206 Å, 90.00 90.00 90.00°
Fractional coordinates of all 10 atoms:
1 Tl 0.169 0.331 0.000
2 Tl 0.331 0.831 0.000
3 Tl 0.669 0.169 0.000
4 Tl 0.831 0.669 0.000
5 Co 0.000 0.000 0.500
6 Co 0.500 0.500 0.500
7 Rh 0.143 0.643 0.500
8 Rh 0.357 0.143 0.500
9 Rh 0.643 0.857 0.500
10 Rh 0.857 0.357 0.500

## Properties
**DOS(E_F)**: 0.99 states/eV/atom
**Size of the total moment**: 2.4 μB/f.u.
**Space group**: P4/mbm, No. 127

ii.
Tl2CoRh2: optimized geometry, PBE.

Cell: 7.636 7.636 3.160 Å, 90.00 90.00 90.00°
Fractional coordinates of all 10 atoms:
1 Tl 0.156 0.344 0.000
2 Tl 0.344 0.844 0.000
3 Tl 0.656 0.156 0.000
4 Tl 0.844 0.656 0.000
5 Co 0.000 0.000 0.000
6 Co 0.500 0.500 0.000
7 Rh 0.144 0.644 0.500
8 Rh 0.356 0.144 0.500
9 Rh 0.644 0.856 0.500
10 Rh 0.856 0.356 0.500

## Properties
**DOS(E_F)**: 1.08 states/eV/atom
**Size of the total moment**: 1.9 μB/f.u.
**Space group**: P4/mbm, No. 127

Energetically preferred structure: i | next structure: +249 meV/atom

i.
TlCoRh: optimized geometry, PBE.

Cell: 4.333 4.333 3.022 Å, 90.00 90.00 120.00°
Fractional coordinates of all 3 atoms:
1 Tl 0.000 0.000 0.000
2 Co 0.667 0.333 0.500
3 Rh 0.333 0.667 0.500

## Properties
**DOS(E_F)**: 1.67 states/eV/atom
**Size of the total moment**: 2.1 μB/f.u.
**Space group**: P-6m2, No. 187

ii.
TlCoRh: optimized geometry, PBE.

Cell: 5.862 5.862 5.862 Å, 150.64 150.64 42.01°
Fractional coordinates of all 3 atoms:
1 Tl 0.000 0.000 0.000
2 Co 0.322 0.322 0.000
3 Rh 0.688 0.688 0.000

## Properties
**DOS(E_F)**: 1.11 states/eV/atom
**Size of the total moment**: 2.0 μB/f.u.
**Space group**: I4mm, No. 107

iii.
TlCoRh: optimized geometry, PBE.

Cell: 5.052 5.052 5.052 Å, 145.83 137.79 55.38°
Fractional coordinates of all 3 atoms:
1 Tl 0.000 0.000 0.000
2 Co 0.682 0.682 0.000
3 Rh 0.314 0.314 0.000

## Properties
**DOS(E_F)**: 1.20 states/eV/atom
**Size of the total moment**: 2.2 μB/f.u.
**Space group**: Imm2, No. 44

Energetically preferred structure: ii | next structure: +8 meV/atom

i.
Tm2CoRh: optimized geometry, PBE.

Cell: 4.718 4.718 4.718 Å, 60.00 60.00 60.00°
Fractional coordinates of all 4 atoms:
1 Tm 0.250 0.250 0.250
2 Tm 0.750 0.750 0.750
3 Co 0.000 0.000 0.000
4 Rh 0.500 0.500 0.500

## Properties
**DOS(E_F)**: 0.66 states/eV/atom
**Size of the total moment**: 0.3 μB/f.u.
**Space group**: Fm-3m, No. 225

ii.
Tm2CoRh: optimized geometry, PBE.

Cell: 3.316 3.316 6.749 Å, 90.00 90.00 90.00°
Fractional coordinates of all 4 atoms:
1 Tm 0.000 0.000 0.243
2 Tm 0.000 0.000 0.757
3 Co 0.500 0.500 0.000
4 Rh 0.500 0.500 0.500

## Properties
**DOS(E_F)**: 0.22 states/eV/atom
**Size of the total moment**: 0.4 μB/f.u.
**Space group**: P4/mmm, No. 123

Energetically preferred structure: ii | next structure: +21 meV/atom